Entry 1:
Entry from the Alexandria database: Nd5TcBr5 after structural relaxation (PBE).

Values from the calculation:
* ΔE_f (raw): -1.086 eV/atom
* space-group type: C2/m

Cell: 7.1799 7.1799 8.9775 Å, 107.44 107.44 49.32°
Last column: nearest neighbours and their distance in Å.
Positions (direct):
Nd1 0.0000 0.0000 0.0000  2 Tc 3.00, 4 Br 3.13-3.25
Nd2 0.3303 0.3303 0.1310  1 Tc 2.83, 2 Br 3.09
Nd3 0.3550 0.3550 0.7119  1 Tc 2.65
Nd4 0.6450 0.6450 0.2881  1 Tc 2.65
Nd5 0.6697 0.6697 0.8690  1 Tc 2.83, 2 Br 3.09
Tc1 0.5000 0.5000 0.0000  4 Nd 2.65-2.83
Br1 0.1427 0.1427 0.7803  5 Nd 3.03-3.29
Br2 0.1704 0.1704 0.3580  5 Nd 3.06-3.36
Br3 0.5000 0.5000 0.5000  4 Nd 3.09-3.32
Br4 0.8296 0.8296 0.6420  5 Nd 3.06-3.36
Br5 0.8573 0.8573 0.2197  5 Nd 3.03-3.29

***

Entry 2:
Entry from the Alexandria database: Nd3TcBr3 after structural relaxation (PBE).

Values from the calculation:
* ΔE_f (raw): -1.108 eV/atom
* space-group type: P2_1/m

Cell: 8.9426 4.1192 12.3828 Å, 90.00 90.72 90.00°
Last column: nearest neighbours and their distance in Å.
Positions (direct):
Nd1 0.0914 0.2500 0.3244  4 Br 2.98-3.06, 1 Tc 3.10
Nd2 0.1687 0.2500 0.8491  3 Tc 2.88-3.10, 1 Br 3.14
Nd3 0.2627 0.7500 0.0987  2 Tc 2.93, 2 Br 3.10-3.27
Nd4 0.7373 0.2500 0.9013  2 Tc 2.93, 2 Br 3.10-3.27
Nd5 0.8313 0.7500 0.1509  3 Tc 2.88-3.10, 1 Br 3.14
Nd6 0.9086 0.7500 0.6756  4 Br 2.98-3.06, 1 Tc 3.10
Tc1 0.0312 0.2500 0.0773  2 Tc 2.86, 6 Nd 2.88-3.10
Tc2 0.9688 0.7500 0.9227  2 Tc 2.86, 6 Nd 2.88-3.10
Br1 0.1356 0.2500 0.5967  4 Nd 3.06-3.39
Br2 0.3301 0.7500 0.3452  3 Nd 2.98-3.10
Br3 0.4469 0.7500 0.8726  5 Nd 3.24-3.33
Br4 0.5531 0.2500 0.1274  5 Nd 3.24-3.33
Br5 0.6699 0.2500 0.6548  3 Nd 2.98-3.10
Br6 0.8644 0.7500 0.4033  4 Nd 3.06-3.39